[1]
First-principles (SCAN) data for FeOs at its PBEsol-relaxed geometry, as listed in the Alexandria database.

E_form (eV/atom): 0.20
Space group: Pnma (62)
Crystal system: orthorhombic

Cell lengths 4.104, 4.518, 5.174 Å; angles 90.00, 90.00, 90.00 degrees
Fractional positions:
1 Fe 0.750 0.419 0.877
2 Fe 0.250 0.081 0.377
3 Fe 0.750 0.919 0.623
4 Fe 0.250 0.581 0.123
5 Os 0.750 0.412 0.373
6 Os 0.250 0.088 0.873
7 Os 0.750 0.912 0.127
8 Os 0.250 0.588 0.627


[2]
First-principles (SCAN) data for K2SrTaSi at its PBEsol-relaxed geometry, as listed in the Alexandria database.

Energy relative to the elements, uncorrected (meV per atom): 1001
Space group: P4/mmm (123)
Crystal system: tetragonal

Cell lengths 4.991, 6.345, 6.345 Å; angles 90.00, 90.00, 90.00 degrees
Each line ends with the local moment (μB).
Fractional positions:
1 Sr 0.500 0.500 0.500  -0.01
2 K 0.000 0.000 0.500  0.06
3 K 0.000 0.500 0.000  0.06
4 Si 0.500 0.000 0.000  -0.04
5 Ta 0.000 0.000 0.000  1.90


[3]
First-principles (SCAN) data for HgGePd2W at its PBEsol-relaxed geometry, as listed in the Alexandria database.

E_form (eV/atom): 1.90
Space group: P4/mmm (123)
Crystal system: tetragonal

Cell lengths 4.879, 4.879, 4.974 Å; angles 90.00, 90.00, 90.00 degrees
Each line ends with the local moment (μB).
Fractional positions:
1 Ge 0.500 0.500 0.500  -0.08
2 Pd 0.000 0.500 0.000  0.10
3 Pd 0.500 0.000 0.000  0.10
4 Hg 0.000 0.000 0.000  0.04
5 W 0.000 0.000 0.500  2.02


[4]
First-principles (SCAN) data for LiEuSb at its PBEsol-relaxed geometry, as listed in the Alexandria database.

Energy relative to the elements, uncorrected (meV per atom): -1026
Space group: Pnma (62)
Crystal system: orthorhombic

Cell lengths 4.710, 7.649, 8.216 Å; angles 90.00, 90.00, 90.00 degrees
Each line ends with the local moment (μB).
Fractional positions:
1 Eu 0.250 0.003 0.713  6.89
2 Eu 0.750 0.997 0.287  6.89
3 Eu 0.250 0.503 0.787  6.89
4 Eu 0.750 0.497 0.213  6.89
5 Sb 0.750 0.226 0.908  -0.11
6 Sb 0.250 0.774 0.092  -0.11
7 Sb 0.750 0.726 0.592  -0.11
8 Sb 0.250 0.274 0.408  -0.11
9 Li 0.250 0.168 0.078  0.00
10 Li 0.750 0.832 0.922  0.00
11 Li 0.250 0.668 0.422  0.00
12 Li 0.750 0.332 0.578  0.00


Number 1: DOS(E_F) 0.7923 states/eV per atom, total magnetic moment 0.0 μB per formula unit, E -44.807 eV/atom. Number 2: DOS(E_F) 0.6624 states/eV per atom, total magnetic moment 3.3 μB per formula unit, E -22.106 eV/atom. Number 3: DOS(E_F) 1.0156 states/eV per atom, total magnetic moment 2.6 μB per formula unit, E -42.602 eV/atom. Number 4: DOS(E_F) 3.4575 states/eV per atom, total magnetic moment 7.0 μB per formula unit, E -32.147 eV/atom.